# 1
Compound: Cs5AgI6
Source: Alexandria via LeMat-Bulk
Functional: PBE-GGA
Structure: relaxed

abc: 9.484 9.484 9.376
angles: 98.76 98.76 120.71
Positions (direct):
Cs 0.000 0.000 0.000
Cs 0.177 0.823 0.500
Cs 0.336 0.664 0.000
Cs 0.664 0.336 0.000
Cs 0.823 0.177 0.500
Ag 0.500 0.500 0.500
I 0.072 0.404 0.238
I 0.315 0.315 0.675
I 0.404 0.072 0.238
I 0.596 0.928 0.762
I 0.685 0.685 0.325
I 0.928 0.596 0.762

calculated volume	57.487	A^3/atom
ΔE_f (raw)	-1285	meV per atom
N(E_F)	0.000	states/eV/atom
magnetic moment	0.000	μB/atom
space-group type	C2/m

# 2
Compound: CsAgI3
Source: Alexandria via LeMat-Bulk
Functional: PBE-GGA
Structure: relaxed

abc: 6.617 7.655 10.897
angles: 90.00 107.66 90.00
Positions (direct):
Cs 0.157 0.000 0.314
Cs 0.843 0.500 0.686
Ag 0.437 0.121 0.874
Ag 0.563 0.621 0.126
I 0.078 0.997 0.666
I 0.412 0.497 0.334
I 0.438 0.490 0.876
I 0.562 0.990 0.124
I 0.588 0.997 0.666
I 0.922 0.497 0.334

calculated volume	52.595	A^3/atom
ΔE_f (raw)	-720	meV per atom
N(E_F)	0.310	states/eV/atom
magnetic moment	0.000	μB/atom
space-group type	P2_1

# 3
Compound: CsAg3I
Source: Alexandria via LeMat-Bulk
Functional: PBE-GGA
Structure: relaxed

abc: 5.829 5.829 5.829
angles: 90.00 90.00 90.00
Positions (direct):
Cs 0.000 0.000 0.000
Ag 0.000 0.500 0.500
Ag 0.500 0.000 0.500
Ag 0.500 0.500 0.000
I 0.500 0.500 0.500

calculated volume	39.617	A^3/atom
ΔE_f (raw)	418	meV per atom
N(E_F)	0.789	states/eV/atom
magnetic moment	0.000	μB/atom
space-group type	Pm-3m

# 4
Compound: Cs2AgI3
Source: Alexandria via LeMat-Bulk
Functional: PBE-GGA
Structure: relaxed

abc: 8.672 8.672 8.601
angles: 90.00 90.00 68.50
Positions (direct):
Cs 0.009 0.665 0.500
Cs 0.335 0.991 0.500
Cs 0.665 0.009 0.000
Cs 0.991 0.335 0.000
Ag 0.408 0.592 0.984
Ag 0.592 0.408 0.484
I 0.127 0.873 0.879
I 0.341 0.375 0.231
I 0.375 0.341 0.731
I 0.625 0.659 0.231
I 0.659 0.625 0.731
I 0.873 0.127 0.379

calculated volume	50.146	A^3/atom
ΔE_f (raw)	-1063	meV per atom
N(E_F)	0.000	states/eV/atom
magnetic moment	0.000	μB/atom
space-group type	Cmc2_1

# 5
Compound: Cs2AgI3
Source: Alexandria via LeMat-Bulk
Functional: PBE-GGA
Structure: relaxed

abc: 14.981 5.071 15.491
angles: 90.00 90.00 90.00
Positions (direct):
Cs 0.011 0.250 0.178
Cs 0.177 0.250 0.518
Cs 0.323 0.750 0.018
Cs 0.489 0.750 0.678
Cs 0.511 0.250 0.322
Cs 0.677 0.250 0.982
Cs 0.823 0.750 0.482
Cs 0.989 0.750 0.822
Ag 0.243 0.750 0.307
Ag 0.257 0.250 0.807
Ag 0.743 0.750 0.193
Ag 0.757 0.250 0.693
I 0.059 0.750 0.363
I 0.135 0.250 0.949
I 0.228 0.750 0.714
I 0.272 0.250 0.214
I 0.365 0.750 0.449
I 0.441 0.250 0.863
I 0.559 0.750 0.137
I 0.635 0.250 0.551
I 0.728 0.750 0.786
I 0.772 0.250 0.286
I 0.865 0.750 0.051
I 0.941 0.250 0.637

calculated volume	49.037	A^3/atom
ΔE_f (raw)	-1135	meV per atom
N(E_F)	0.000	states/eV/atom
magnetic moment	0.000	μB/atom
space-group type	Pnma

# 6
Compound: CsAgI2
Source: Alexandria via LeMat-Bulk
Functional: PBE-GGA
Structure: relaxed

abc: 8.867 8.867 9.192
angles: 90.00 90.00 90.00
Positions (direct):
Cs 0.000 0.000 0.000
Cs 0.000 0.500 0.250
Cs 0.500 0.000 0.750
Cs 0.500 0.500 0.500
Ag 0.000 0.000 0.500
Ag 0.000 0.500 0.750
Ag 0.500 0.000 0.250
Ag 0.500 0.500 0.000
I 0.162 0.750 0.625
I 0.250 0.162 0.375
I 0.250 0.338 0.875
I 0.338 0.750 0.125
I 0.662 0.250 0.125
I 0.750 0.662 0.875
I 0.750 0.838 0.375
I 0.838 0.250 0.625

calculated volume	45.168	A^3/atom
ΔE_f (raw)	-885	meV per atom
N(E_F)	0.000	states/eV/atom
magnetic moment	0.000	μB/atom
space-group type	I-42d

# 7
Compound: CsAgI3
Source: Alexandria via LeMat-Bulk
Functional: PBE-GGA
Structure: relaxed

abc: 10.806 10.806 8.455
angles: 101.09 101.09 68.78
Positions (direct):
Cs 0.017 0.983 0.750
Cs 0.366 0.634 0.250
Cs 0.634 0.366 0.750
Cs 0.983 0.017 0.250
Ag 0.165 0.493 0.670
Ag 0.493 0.165 0.170
Ag 0.507 0.835 0.830
Ag 0.835 0.507 0.330
I 0.037 0.667 0.431
I 0.050 0.674 0.930
I 0.326 0.950 0.570
I 0.333 0.963 0.069
I 0.337 0.337 0.422
I 0.337 0.337 0.922
I 0.663 0.663 0.078
I 0.663 0.663 0.578
I 0.667 0.037 0.931
I 0.674 0.050 0.430
I 0.950 0.326 0.070
I 0.963 0.333 0.569

calculated volume	44.750	A^3/atom
ΔE_f (raw)	-616	meV per atom
N(E_F)	0.741	states/eV/atom
magnetic moment	0.000	μB/atom
space-group type	C2/c

# 8
Compound: Cs3Ag2I4
Source: Alexandria via LeMat-Bulk
Functional: PBE-GGA
Structure: relaxed

abc: 9.724 9.954 10.485
angles: 91.73 92.89 111.96
Positions (direct):
Cs 0.016 0.483 0.259
Cs 0.297 0.204 0.869
Cs 0.299 0.043 0.317
Cs 0.701 0.957 0.683
Cs 0.703 0.796 0.131
Cs 0.984 0.517 0.741
Ag 0.372 0.470 0.582
Ag 0.378 0.884 0.977
Ag 0.622 0.116 0.023
Ag 0.628 0.530 0.418
I 0.065 0.792 0.018
I 0.087 0.244 0.526
I 0.409 0.619 0.828
I 0.429 0.700 0.403
I 0.571 0.300 0.597
I 0.591 0.381 0.172
I 0.913 0.756 0.474
I 0.935 0.208 0.982

calculated volume	52.150	A^3/atom
ΔE_f (raw)	-967	meV per atom
N(E_F)	0.000	states/eV/atom
magnetic moment	0.000	μB/atom
space-group type	P-1

# 9
Compound: CsAgI2
Source: Alexandria via LeMat-Bulk
Functional: PBE-GGA
Structure: relaxed

abc: 4.743 4.743 25.318
angles: 90.00 90.00 120.00
Positions (direct):
Cs 0.000 0.000 0.000
Cs 0.333 0.667 0.667
Cs 0.667 0.333 0.333
Ag 0.000 0.000 0.168
Ag 0.333 0.667 0.835
Ag 0.667 0.333 0.502
I 0.000 0.000 0.563
I 0.000 0.000 0.771
I 0.333 0.667 0.229
I 0.333 0.667 0.438
I 0.667 0.333 0.104
I 0.667 0.333 0.896

calculated volume	41.100	A^3/atom
ΔE_f (raw)	-783	meV per atom
N(E_F)	0.000	states/eV/atom
magnetic moment	0.000	μB/atom
space-group type	R3m

# 10
Compound: CsAgI2
Source: Alexandria via LeMat-Bulk
Functional: PBE-GGA
Structure: relaxed

abc: 7.861 7.861 16.221
angles: 90.00 90.00 90.00
Positions (direct):
Cs 0.000 0.250 0.375
Cs 0.000 0.750 0.625
Cs 0.500 0.250 0.125
Cs 0.500 0.750 0.875
Ag 0.000 0.250 0.875
Ag 0.000 0.750 0.125
Ag 0.500 0.250 0.625
Ag 0.500 0.750 0.375
I 0.000 0.000 0.000
I 0.000 0.500 0.000
I 0.250 0.250 0.750
I 0.250 0.750 0.250
I 0.500 0.000 0.500
I 0.500 0.500 0.500
I 0.750 0.250 0.750
I 0.750 0.750 0.250

calculated volume	62.641	A^3/atom
ΔE_f (raw)	-670	meV per atom
magnetic moment	0.000	μB/atom
space-group type	I4_1/amd

# 11
Compound: Cs3Ag3I8
Source: Alexandria via LeMat-Bulk
Functional: PBE-GGA
Structure: relaxed

abc: 10.234 10.234 10.234
angles: 109.45 109.45 41.91
Positions (direct):
Cs 0.000 0.000 0.000
Cs 0.318 0.318 0.199
Cs 0.682 0.682 0.801
Ag 0.000 0.000 0.500
Ag 0.301 0.301 0.614
Ag 0.699 0.699 0.386
I 0.110 0.110 0.754
I 0.180 0.180 0.379
I 0.390 0.390 0.884
I 0.456 0.456 0.590
I 0.544 0.544 0.410
I 0.610 0.610 0.116
I 0.820 0.820 0.621
I 0.890 0.890 0.246

calculated volume	47.777	A^3/atom
ΔE_f (raw)	-719	meV per atom
magnetic moment	0.000	μB/atom
space-group type	C2/m

# 12
Compound: CsAg2I
Source: Alexandria via LeMat-Bulk
Functional: PBE-GGA
Structure: relaxed

abc: 5.480 5.480 23.204
angles: 90.00 90.00 90.00
Positions (direct):
Cs 0.000 0.250 0.375
Cs 0.000 0.750 0.625
Cs 0.500 0.250 0.125
Cs 0.500 0.750 0.875
Ag 0.000 0.000 0.000
Ag 0.000 0.500 0.000
Ag 0.250 0.250 0.750
Ag 0.250 0.750 0.250
Ag 0.500 0.000 0.500
Ag 0.500 0.500 0.500
Ag 0.750 0.250 0.750
Ag 0.750 0.750 0.250
I 0.000 0.250 0.875
I 0.000 0.750 0.125
I 0.500 0.250 0.625
I 0.500 0.750 0.375

calculated volume	43.553	A^3/atom
ΔE_f (raw)	-152	meV per atom
N(E_F)	0.501	states/eV/atom
magnetic moment	0.000	μB/atom
space-group type	I4_1/amd

# 13
Compound: CsAg3I
Source: Alexandria via LeMat-Bulk
Functional: PBE-GGA
Structure: relaxed

abc: 6.193 6.193 6.193
angles: 90.00 90.00 90.00
Positions (direct):
Cs 0.000 0.000 0.000
Ag 0.000 0.000 0.500
Ag 0.000 0.500 0.000
Ag 0.500 0.000 0.000
I 0.500 0.500 0.500

calculated volume	47.507	A^3/atom
ΔE_f (raw)	1016	meV per atom
N(E_F)	1.099	states/eV/atom
magnetic moment	0.000	μB/atom
space-group type	Pm-3m

# 14
Compound: Cs8Ag2I
Source: Alexandria via LeMat-Bulk
Functional: PBE-GGA
Structure: relaxed

abc: 15.804 15.804 10.880
angles: 90.28 90.28 19.00
Positions (direct):
Cs 0.015 0.015 0.242
Cs 0.256 0.256 0.751
Cs 0.376 0.376 0.008
Cs 0.376 0.376 0.494
Cs 0.624 0.624 0.506
Cs 0.624 0.624 0.992
Cs 0.744 0.744 0.249
Cs 0.985 0.985 0.758
Ag 0.144 0.144 0.253
Ag 0.856 0.856 0.747
I 0.500 0.500 0.500

calculated volume	80.431	A^3/atom
ΔE_f (raw)	-239	meV per atom
N(E_F)	0.750	states/eV/atom
magnetic moment	0.000	μB/atom
space-group type	C2/m

# 15
Compound: CsAg2I
Source: Alexandria via LeMat-Bulk
Functional: PBE-GGA
Structure: relaxed

abc: 8.167 8.167 8.167
angles: 90.00 90.00 90.00
Positions (direct):
Cs 0.000 0.000 0.000
Cs 0.000 0.500 0.500
Cs 0.500 0.000 0.500
Cs 0.500 0.500 0.000
Ag 0.250 0.250 0.250
Ag 0.250 0.250 0.750
Ag 0.250 0.750 0.250
Ag 0.250 0.750 0.750
Ag 0.750 0.250 0.250
Ag 0.750 0.250 0.750
Ag 0.750 0.750 0.250
Ag 0.750 0.750 0.750
I 0.000 0.000 0.500
I 0.000 0.500 0.000
I 0.500 0.000 0.000
I 0.500 0.500 0.500

calculated volume	34.043	A^3/atom
ΔE_f (raw)	191	meV per atom
N(E_F)	0.668	states/eV/atom
magnetic moment	0.000	μB/atom
space-group type	Fm-3m

# 16
Compound: CsAg2I2
Source: Alexandria via LeMat-Bulk
Functional: PBE-GGA
Structure: relaxed

abc: 9.316 9.316 4.503
angles: 90.00 90.00 90.00
Positions (direct):
Cs 0.000 0.000 0.000
Cs 0.500 0.500 0.000
Ag 0.103 0.397 0.000
Ag 0.397 0.897 0.000
Ag 0.603 0.103 0.000
Ag 0.897 0.603 0.000
I 0.240 0.260 0.500
I 0.260 0.760 0.500
I 0.740 0.240 0.500
I 0.760 0.740 0.500

calculated volume	39.081	A^3/atom
ΔE_f (raw)	-372	meV per atom
N(E_F)	0.574	states/eV/atom
magnetic moment	0.000	μB/atom
space-group type	P4/mbm

# 17
Compound: Cs2AgI7
Source: Alexandria via LeMat-Bulk
Functional: PBE-GGA
Structure: relaxed

abc: 8.946 8.946 8.946
angles: 122.23 122.23 86.18
Positions (direct):
Cs 0.250 0.750 0.500
Cs 0.750 0.250 0.500
Ag 0.000 0.000 0.000
I 0.208 0.208 0.000
I 0.255 0.255 0.510
I 0.255 0.745 0.000
I 0.500 0.500 0.000
I 0.745 0.255 0.000
I 0.745 0.745 0.490
I 0.792 0.792 0.000

calculated volume	48.802	A^3/atom
ΔE_f (raw)	-647	meV per atom
N(E_F)	0.000	states/eV/atom
magnetic moment	0.000	μB/atom
space-group type	I4/mmm

# 18
Compound: Cs2Ag2I
Source: Alexandria via LeMat-Bulk
Functional: PBE-GGA
Structure: relaxed

abc: 7.097 7.097 9.206
angles: 90.00 90.00 90.00
Positions (direct):
Cs 0.000 0.500 0.250
Cs 0.000 0.500 0.750
Cs 0.500 0.000 0.250
Cs 0.500 0.000 0.750
Ag 0.000 0.000 0.148
Ag 0.000 0.000 0.852
Ag 0.500 0.500 0.352
Ag 0.500 0.500 0.648
I 0.000 0.000 0.500
I 0.500 0.500 0.000

calculated volume	46.373	A^3/atom
ΔE_f (raw)	-286	meV per atom
N(E_F)	0.325	states/eV/atom
magnetic moment	0.000	μB/atom
space-group type	I4/mmm

# 19
Compound: Cs5AgI4
Source: Alexandria via LeMat-Bulk
Functional: PBE-GGA
Structure: relaxed

abc: 19.976 19.976 19.976
angles: 164.06 164.06 22.62
Positions (direct):
Cs 0.000 0.000 0.000
Cs 0.200 0.200 0.000
Cs 0.400 0.400 0.000
Cs 0.600 0.600 0.000
Cs 0.800 0.800 0.000
Ag 0.500 0.500 0.000
I 0.100 0.100 0.000
I 0.300 0.300 0.000
I 0.700 0.700 0.000
I 0.900 0.900 0.000

calculated volume	60.119	A^3/atom
ΔE_f (raw)	-1222	meV per atom
N(E_F)	0.000	states/eV/atom
magnetic moment	0.000	μB/atom
space-group type	I4/mmm

# 20
Compound: Cs2AgI3
Source: Alexandria via LeMat-Bulk
Functional: PBE-GGA
Structure: relaxed

abc: 10.877 5.137 21.008
angles: 90.00 90.00 90.00
Positions (direct):
Cs 0.085 0.250 0.210
Cs 0.239 0.750 0.454
Cs 0.261 0.250 0.954
Cs 0.415 0.750 0.710
Cs 0.585 0.250 0.290
Cs 0.739 0.750 0.046
Cs 0.761 0.250 0.546
Cs 0.915 0.750 0.790
Ag 0.143 0.250 0.636
Ag 0.357 0.750 0.136
Ag 0.643 0.250 0.864
Ag 0.857 0.750 0.364
I 0.020 0.750 0.605
I 0.128 0.750 0.069
I 0.179 0.250 0.772
I 0.321 0.750 0.272
I 0.372 0.250 0.569
I 0.480 0.250 0.105
I 0.520 0.750 0.895
I 0.628 0.750 0.431
I 0.679 0.250 0.728
I 0.821 0.750 0.228
I 0.872 0.250 0.931
I 0.980 0.250 0.395

calculated volume	48.914	A^3/atom
ΔE_f (raw)	-1131	meV per atom
N(E_F)	0.000	states/eV/atom
magnetic moment	0.000	μB/atom
space-group type	Pnma